Below is an optimized crystal structure of CsSr2CaNi, with properties calculated at the PBE-GGA level.

Symmetry: P4/mmm (123)
Energy of formation (meV/atom): 105

a = 6.128 Å, b = 6.128 Å, c = 5.896 Å
α = 90.00°, β = 90.00°, γ = 90.00°
Sites, in units of the cell vectors:
Cs  0.000  0.000  0.000
Sr  0.000  0.500  0.500
Sr  0.500  0.000  0.500
Ca  0.500  0.500  0.000
Ni  0.500  0.500  0.500